Te3HS: relaxed, PBE.

Unit cell a=5.3287 b=5.3287 c=5.3287 alpha=90.00 beta=90.00 gamma=90.00
Atoms (fractional coordinates):
Te 0.0000 0.0000 0.5000
Te 0.0000 0.5000 0.0000
Te 0.5000 0.0000 0.0000
H 0.5000 0.5000 0.5000
S 0.0000 0.0000 0.0000

## Properties
- total magnetization (μB per formula unit) = 0.11
- crystal system = cubic
- Fermi-level density of states (states/eV per cell) = 5.1
- calculated volume (A^3/atom) = 30.3
- relative energy among the computed polymorphs (eV per atom) = 0.188
- raw total energy (eV per atom) = -2.45